The following is a PBE-GGA calculation of an optimized crystal structure of Dy3GaAu, from Alexandria via LeMat-Bulk.

Structure (POSCAR):
```
Dy3GaAu
1.0
6.339 -2.085 0.000
6.339 2.085 0.000
-1.558 0.000 9.837
Dy Ga Au
6 2 2
Direct
0.073 0.073 0.365 Dy
0.351 0.351 0.286 Dy
0.355 0.355 0.903 Dy
0.645 0.645 0.097 Dy
0.649 0.649 0.714 Dy
0.927 0.927 0.635 Dy
0.261 0.261 0.584 Ga
0.739 0.739 0.416 Ga
0.070 0.070 0.895 Au
0.930 0.930 0.105 Au
```

Summary:
Uncorrected energy, eV per atom: -4.55
SG: C2/m (12)



The following is a PBE-GGA calculation of an optimized crystal structure of Dy2Ga5Au, from Alexandria via LeMat-Bulk.

Structure (POSCAR):
```
Dy2Ga5Au
1.0
-3.052 3.052 4.215
3.052 -3.052 4.215
3.052 3.052 -4.215
Dy Ga Au
2 5 1
Direct
0.000 0.500 0.500 Dy
0.500 0.000 0.500 Dy
0.495 0.495 0.000 Ga
0.503 0.503 0.505 Ga
0.503 0.997 0.000 Ga
0.997 0.503 0.000 Ga
0.997 0.997 0.495 Ga
0.005 0.005 0.000 Au
```

Summary:
Uncorrected energy, eV per atom: -4.00
SG: I4mm (107)



The following is a PBE-GGA calculation of an optimized crystal structure of Dy3Ga4Au7, from Alexandria via LeMat-Bulk.

Structure (POSCAR):
```
Dy3Ga4Au7
1.0
8.181 -2.190 0.000
8.181 2.190 0.000
-5.215 0.000 7.776
Dy Ga Au
3 4 7
Direct
0.000 0.000 0.000 Dy
0.319 0.319 0.326 Dy
0.681 0.681 0.674 Dy
0.123 0.123 0.839 Ga
0.324 0.324 0.697 Ga
0.676 0.676 0.303 Ga
0.877 0.877 0.161 Ga
0.000 0.000 0.500 Au
0.141 0.141 0.403 Au
0.313 0.313 0.957 Au
0.499 0.499 0.733 Au
0.501 0.501 0.267 Au
0.687 0.687 0.043 Au
0.859 0.859 0.597 Au
```

Summary:
Uncorrected energy, eV per atom: -4.11
SG: C2/m (12)



The following is a PBE-GGA calculation of an optimized crystal structure of Dy3Ga2Au7, from Alexandria via LeMat-Bulk.

Structure (POSCAR):
```
Dy3Ga2Au7
1.0
-2.098 2.098 14.230
2.098 -2.098 14.230
2.098 2.098 -14.230
Dy Ga Au
3 2 7
Direct
0.000 0.000 0.000 Dy
0.174 0.174 0.000 Dy
0.826 0.826 0.000 Dy
0.366 0.366 0.000 Ga
0.634 0.634 0.000 Ga
0.079 0.579 0.500 Au
0.276 0.276 0.000 Au
0.421 0.921 0.500 Au
0.500 0.500 0.000 Au
0.579 0.079 0.500 Au
0.724 0.724 0.000 Au
0.921 0.421 0.500 Au
```

Summary:
Uncorrected energy, eV per atom: -4.14
SG: I4/mmm (139)